Below is a relaxed NaAsRu2Cl crystal, with properties calculated at the PBE-GGA level.

abc: 4.569 4.569 6.206
angles: 90.00 90.00 90.00
Space group P4/mmm (No. 123)
Inequivalent atoms, fractional coordinates:
Na: 0.000 0.000 0.000 x1
As: 0.000 0.000 0.500 x1
Ru: 0.000 0.500 0.500 x2
Cl: 0.500 0.500 0.000 x1

Values from the calculation:
**Uncorrected formation energy**: 0.55 eV/atom